This record from Alexandria via LeMat-Bulk describes a geometry-optimized HfAl2Ge2 structure. The functional is PBE.

a = 9.640 Å, b = 3.630 Å, c = 6.866 Å
α = 90.00°, β = 133.05°, γ = 90.00°
Fractional coordinates of all 10 atoms:
Hf 0.000 0.000 0.000
Hf 0.500 0.500 0.000
Al 0.186 0.000 0.573
Al 0.314 0.500 0.427
Al 0.686 0.500 0.573
Al 0.814 0.000 0.427
Ge 0.121 0.500 0.816
Ge 0.379 0.000 0.184
Ge 0.621 0.000 0.816
Ge 0.879 0.500 0.184

Calculated values
V, Å³ per atom: 17.6
Space group: C2/m (12)
Density of states at the Fermi level, states/eV/f.u.: 2.51
Energy of formation from the pure elements, eV per atom: -0.188